(1)
A relaxed LuFe5P3 crystal, computed with PBE.

The structure in POSCAR format:
```
LuFe5P3
1.0
11.742 0.000 0.000
0.000 3.621 0.000
0.000 0.000 10.212
Fe P Lu
20 12 4
Cartesian
5.749 0.905 4.143
5.993 2.716 6.069
9.666 2.716 7.974
0.793 2.716 5.480
5.078 0.905 0.374
3.510 2.716 1.258
7.947 0.905 2.867
11.620 0.905 0.963
0.139 2.716 2.983
11.603 0.905 7.229
2.361 0.905 6.364
9.381 2.716 3.848
2.076 0.905 2.239
6.010 2.716 2.123
8.232 0.905 8.954
0.122 2.716 9.249
6.664 2.716 9.838
10.949 0.905 4.732
5.732 0.905 8.089
3.795 2.716 7.345
7.382 2.716 7.808
1.511 2.716 7.511
7.206 0.905 0.806
10.231 0.905 2.702
10.407 2.716 5.912
4.536 2.716 9.406
1.233 2.716 1.019
1.335 0.905 4.300
10.509 0.905 9.193
4.360 0.905 2.404
7.104 2.716 4.087
4.638 0.905 6.125
8.275 0.905 5.932
2.405 0.905 9.386
9.337 2.716 0.826
3.466 2.716 4.280
```

Summary:
total DFT energy (no corrections): -7.673 eV per atom
space-group type: Pnma (62)
volume: 434 Å³ per cell

(2)
A relaxed Tc2SnAu crystal, computed with PBE.

The structure in POSCAR format:
```
Tc2SnAu
1.0
-2.117 -2.533 3.171
-4.113 1.259 1.563
-3.715 -2.429 -1.117
Au Tc Sn
1 2 1
Cartesian
-2.486 -0.926 0.904
0.000 0.000 0.000
-7.459 -2.777 2.713
-4.973 -1.851 1.809
```

Summary:
total DFT energy (no corrections): -6.571 eV per atom
space-group type: F-43m (216)
volume: 68 Å³ per cell

(3)
A relaxed Er2Tm3Mg3 crystal, computed with PBE.

The structure in POSCAR format:
```
Er2Tm3Mg3
1.0
-4.181 4.864 2.223
-3.442 -1.074 -4.123
-0.819 -6.331 2.333
Mg Er Tm
3 2 3
Cartesian
-2.675 -1.869 -0.918
-4.055 -0.100 3.411
-5.184 -2.632 1.375
-1.967 -2.509 2.296
-4.765 0.503 0.209
-3.642 3.064 2.242
-1.529 0.604 1.119
-3.067 -5.077 0.245
```

Summary:
total DFT energy (no corrections): -3.391 eV per atom
space-group type: Pm (6)
volume: 222 Å³ per cell
excess energy over the best structure of this formula in the dataset: 0.00 eV per formula unit